Record 1
# SmY9In2 (PBE-GGA, optimized geometry)
data_SmY9In2
_chemical_formula_sum 'Sm1 Y9 In2'
_space_group_name_H-M_alt 'P 4/m m m'
_space_group_IT_number 123
_space_group_name_Hall '-P 4 2'
_cell_length_a 4.892
_cell_length_b 4.892
_cell_length_c 15.094
_cell_angle_alpha 90.00
_cell_angle_beta 90.00
_cell_angle_gamma 90.00
loop_
_atom_site_label
_atom_site_type_symbol
_atom_site_fract_x
_atom_site_fract_y
_atom_site_fract_z
_atom_site_occupancy
Sm1 Sm 0.000 0.000 0.000 1
Y1 Y 0.000 0.500 0.175 1
Y2 Y 0.000 0.500 0.500 1
Y3 Y 0.500 0.500 0.000 1
Y4 Y 0.500 0.500 0.339 1
In1 In 0.000 0.000 0.340 1
# * energy relative to the elements: -16.1 kJ per mole of atoms
# * DOS(E_F): 15.59 states/eV/f.u.
# * volume: 361 Å³/cell

Record 2
# InHg8Pb5 (PBE-GGA, optimized geometry)
data_InHg8Pb5
_chemical_formula_sum 'In2 Hg16 Pb10'
_space_group_name_H-M_alt 'I -4'
_space_group_IT_number 82
_cell_length_a 9.159
_cell_length_b 9.159
_cell_length_c 9.599
_cell_angle_alpha 90.00
_cell_angle_beta 90.00
_cell_angle_gamma 90.00
loop_
_space_group_symop_operation_xyz
'x,y,z'
'y,-x,-z'
'-x,-y,z'
'-y,x,-z'
'x+1/2,y+1/2,z+1/2'
'y+1/2,-x+1/2,-z+1/2'
'-x+1/2,-y+1/2,z+1/2'
'-y+1/2,x+1/2,-z+1/2'
loop_
_atom_site_label
_atom_site_type_symbol
_atom_site_fract_x
_atom_site_fract_y
_atom_site_fract_z
_atom_site_occupancy
In1 In 0.000 0.000 0.000 1
Hg1 Hg 0.065 0.668 0.078 1
Hg2 Hg 0.098 0.830 0.740 1
Pb1 Pb 0.000 0.500 0.750 1
Pb2 Pb 0.130 0.787 0.410 1
# * energy relative to the elements: 5.7 kJ per mole of atoms
# * DOS(E_F): 7.49 states/eV/f.u.
# * volume: 805 Å³/cell

Record 3
# Cu2MoSe (PBE-GGA, optimized geometry)
data_Cu2MoSe
_chemical_formula_sum 'Cu4 Mo2 Se2'
_space_group_name_H-M_alt 'C m m m'
_space_group_IT_number 65
_space_group_name_Hall '-C 2 2'
_cell_length_a 5.018
_cell_length_b 8.644
_cell_length_c 2.726
_cell_angle_alpha 90.00
_cell_angle_beta 90.00
_cell_angle_gamma 90.00
loop_
_atom_site_label
_atom_site_type_symbol
_atom_site_fract_x
_atom_site_fract_y
_atom_site_fract_z
_atom_site_occupancy
Cu1 Cu 0.250 0.250 0.000 1
Mo1 Mo 0.000 0.000 0.500 1
Se1 Se 0.000 0.500 0.500 1
# * total energy: -5.2728 eV per atom
# * DOS(E_F): 2.33 states/eV/f.u.
# * volume: 118 Å³/cell

Record 4
# NdTlHg (PBE-GGA, optimized geometry)
data_NdTlHg
_chemical_formula_sum 'Nd4 Tl4 Hg4'
_space_group_name_H-M_alt 'P -1'
_space_group_IT_number 2
_cell_length_a 6.479
_cell_length_b 7.844
_cell_length_c 7.848
_cell_angle_alpha 72.41
_cell_angle_beta 73.97
_cell_angle_gamma 73.97
loop_
_space_group_symop_operation_xyz
'x,y,z'
'-x,-y,-z'
loop_
_atom_site_label
_atom_site_type_symbol
_atom_site_fract_x
_atom_site_fract_y
_atom_site_fract_z
_atom_site_occupancy
Nd1 Nd 0.069 0.234 0.485 1
Nd2 Nd 0.070 0.734 0.982 1
Tl1 Tl 0.384 0.329 0.080 1
Tl2 Tl 0.385 0.828 0.577 1
Hg1 Hg 0.300 0.423 0.674 1
Hg2 Hg 0.301 0.923 0.172 1
# * energy relative to the elements: -21.7 kJ per mole of atoms
# * DOS(E_F): 1.66 states/eV/f.u.
# * volume: 357 Å³/cell

Record 5
# Na2Cd5In2 (PBE-GGA, optimized geometry)
data_Na2Cd5In2
_chemical_formula_sum 'Na4 Cd10 In4'
_space_group_name_H-M_alt 'A m m 2'
_space_group_IT_number 38
_cell_length_a 11.642
_cell_length_b 6.242
_cell_length_c 6.449
_cell_angle_alpha 90.00
_cell_angle_beta 90.00
_cell_angle_gamma 90.00
loop_
_space_group_symop_operation_xyz
'x,y,z'
'-x,-y,z'
'-x,y,z'
'x,-y,z'
'x,y+1/2,z+1/2'
'-x,-y+1/2,z+1/2'
'-x,y+1/2,z+1/2'
'x,-y+1/2,z+1/2'
loop_
_atom_site_label
_atom_site_type_symbol
_atom_site_fract_x
_atom_site_fract_y
_atom_site_fract_z
_atom_site_occupancy
Na1 Na 0.000 0.000 0.000 1
Na2 Na 0.500 0.000 0.001 1
Cd1 Cd 0.299 0.250 0.251 1
Cd2 Cd 0.500 0.000 0.501 1
In1 In 0.125 0.000 0.501 1
# * energy relative to the elements: -2.4 kJ per mole of atoms
# * energy above the most stable polymorph in this dataset: 0 meV per atom
# * DOS(E_F): 3.59 states/eV/f.u.
# * volume: 469 Å³/cell

Record 6
# Tb2ScCdHg4 (PBE-GGA, optimized geometry)
data_Tb2ScCdHg4
_chemical_formula_sum 'Tb6 Sc3 Cd3 Hg12'
_space_group_name_H-M_alt 'R -3 m'
_space_group_IT_number 166
_space_group_name_Hall '-R 3 2"'
_cell_length_a 5.0972
_cell_length_b 5.0972
_cell_length_c 25.4164
_cell_angle_alpha 90.00
_cell_angle_beta 90.00
_cell_angle_gamma 120.00
loop_
_atom_site_label
_atom_site_type_symbol
_atom_site_fract_x
_atom_site_fract_y
_atom_site_fract_z
_atom_site_occupancy
Tb1 Tb 0.0000 0.0000 0.2441 1
Sc1 Sc 0.0000 0.0000 0.0000 1
Cd1 Cd 0.0000 0.0000 0.5000 1
Hg1 Hg 0.0000 0.0000 0.1203 1
Hg2 Hg 0.0000 0.0000 0.3680 1
# * energy relative to the elements: -42.0 kJ per mole of atoms
# * DOS(E_F): 3.53 states/eV/f.u.
# * volume: 572 Å³/cell